A plane-wave DFT calculation with GGA-PBE was carried out for Y3Er5Tm after structural relaxation.

Unit cell a=15.1113 b=11.2621 c=9.9556 alpha=90.00 beta=130.48 gamma=90.00
With the nearest neighbours (Å) after each atom.
Space group C2/m (No. 12)
Asymmetric unit:
Y 0.0000 0.0000 0.0000 x2  2 Y 3.02, 2 Tm 3.18
Y 0.0000 0.5000 0.5000 x2  4 Er 2.92-3.12, 2 Tm 3.24
Y 0.0117 0.0000 0.3148 x4  1 Y 3.02, 5 Er 3.19-3.35
Y 0.0229 0.5000 0.8653 x4  2 Y 3.17-3.42, 2 Er 3.21-3.31, 1 Tm 3.27
Er 0.0000 0.2406 0.5000 x4  1 Y 2.92
Er 0.1576 0.2486 0.2545 x8  3 Er 3.26-3.63, 2 Y 3.48-3.56
Er 0.2198 0.0000 0.7318 x4  3 Y 3.19-3.31, 3 Er 3.30-3.34, 1 Tm 3.45
Er 0.2201 0.5000 0.5328 x4  3 Y 3.12-3.28, 3 Er 3.26-3.30, 1 Tm 3.32
Tm 0.2486 0.0000 0.1047 x4  4 Y 3.18-3.40, 2 Er 3.32-3.45

Values from the calculation:
Its total energy is -4.64 eV per atom. Its formation energy is 0.5500 eV per atom.